Here is a relaxed structure of TbNdZnSi from the Alexandria database. Energies are from GGA-PBE.

Energy relative to the lowest polymorph listed for this composition ... 36 kJ/mol of formula units
Calculated density ... 7.118 Mg/m³
Fermi-level density of states ... 0.529 states/eV/atom
Final energy ... -17.9 eV/f.u.
Space-group type ... No. 216
Formation energy (no corrections) ... -0.441 eV per atom

a = 5.0771 Å, b = 5.0771 Å, c = 5.0771 Å
α = 60.00°, β = 60.00°, γ = 60.00°
With the nearest neighbours (Å) after each atom.
Positions (direct):
Nd1 0.5000 0.5000 0.5000  4 Zn 3.11, 4 Si 3.11
Zn1 0.2500 0.2500 0.2500  4 Tb 3.11, 4 Nd 3.11
Tb1 0.0000 0.0000 0.0000  4 Si 3.11, 4 Zn 3.11
Si1 0.7500 0.7500 0.7500  4 Tb 3.11, 4 Nd 3.11

Here is a relaxed structure of TbNdZnSi from the Alexandria database. Energies are from GGA-PBE.

Energy relative to the lowest polymorph listed for this composition ... 0 kJ/mol of formula units
Calculated density ... 6.803 Mg/m³
Fermi-level density of states ... 1.010 states/eV/atom
Final energy ... -18.2 eV/f.u.
Space-group type ... No. 38
Formation energy (no corrections) ... -0.535 eV per atom

a = 4.2518 Å, b = 4.0924 Å, c = 5.9564 Å
α = 90.00°, β = 110.91°, γ = 90.00°
With the nearest neighbours (Å) after each atom.
Positions (direct):
Tb1 0.8608 0.5000 0.7215  4 Si 3.04, 3 Zn 3.12-3.28
Nd1 0.1460 0.0000 0.2921  4 Zn 3.08, 3 Si 3.13-3.23
Zn1 0.5656 0.5000 0.1312  2 Si 2.56
Si1 0.4276 0.0000 0.8552  2 Zn 2.56

Here is a relaxed structure of Nd2Si3Tc2 from the Alexandria database. Energies are from GGA-PBE.

Calculated density ... 6.676 Mg/m³
Fermi-level density of states ... 0.733 states/eV/atom
Final energy ... -50.6 eV/f.u.
Space-group type ... No. 12
Formation energy (no corrections) ... -0.578 eV per atom

a = 4.3372 Å, b = 7.3355 Å, c = 6.1658 Å
α = 126.65°, β = 110.59°, γ = 90.00°
With the nearest neighbours (Å) after each atom.
Positions (direct):
Nd1 0.4237 0.1781 0.8473  6 Si 2.94-3.25, 2 Tc 3.18-3.27
Nd2 0.5763 0.8219 0.1527  6 Si 2.94-3.25, 2 Tc 3.18-3.27
Si1 0.0000 0.0000 0.0000  2 Tc 2.27
Si2 0.1433 0.5939 0.2866  3 Tc 2.46-2.52, 1 Si 2.65
Si3 0.8567 0.4061 0.7134  3 Tc 2.46-2.52, 1 Si 2.65
Tc1 0.2304 0.3633 0.4609  4 Si 2.27-2.52
Tc2 0.7696 0.6367 0.5391  4 Si 2.27-2.52

Here is a relaxed structure of Nd3Si4Tc2 from the Alexandria database. Energies are from GGA-PBE.

Calculated density ... 6.571 Mg/m³
Fermi-level density of states ... 0.649 states/eV/atom
Final energy ... -62.4 eV/f.u.
Space-group type ... No. 12
Formation energy (no corrections) ... -0.632 eV per atom

a = 4.2376 Å, b = 5.9789 Å, c = 8.3453 Å
α = 107.45°, β = 90.00°, γ = 110.76°
With the nearest neighbours (Å) after each atom.
Positions (direct):
Nd1 0.6177 0.2355 0.6969  7 Si 3.00-3.21, 4 Tc 3.16-3.31
Nd2 0.0000 0.0000 0.0000  8 Si 3.13-3.42
Nd3 0.3823 0.7645 0.3031  7 Si 3.00-3.21, 4 Tc 3.16-3.31
Si1 0.7169 0.4338 0.0764  1 Tc 2.43, 2 Si 2.70
Si2 0.2831 0.5662 0.9236  1 Tc 2.43, 2 Si 2.70
Si3 0.8903 0.7806 0.5908  3 Tc 2.40-2.49
Si4 0.1097 0.2194 0.4092  3 Tc 2.40-2.49
Tc1 0.6878 0.3756 0.3528  4 Si 2.40-2.49
Tc2 0.3122 0.6244 0.6472  4 Si 2.40-2.49

Here is a relaxed structure of NdSi4Tc4 from the Alexandria database. Energies are from GGA-PBE.

Calculated density ... 6.989 Mg/m³
Fermi-level density of states ... 0.786 states/eV/atom
Final energy ... -72.6 eV/f.u.
Space-group type ... No. 86
Formation energy (no corrections) ... -0.515 eV per atom

a = 4.6726 Å, b = 8.1217 Å, c = 8.1217 Å
α = 90.00°, β = 90.00°, γ = 90.00°
With the nearest neighbours (Å) after each atom.
Positions (direct):
Nd1 0.0000 0.0000 0.0000  8 Si 3.21-3.41, 4 Tc 3.23
Nd2 0.5000 0.5000 0.5000  8 Si 3.21-3.41, 4 Tc 3.23
Si1 0.5838 0.8418 0.3062  1 Si 2.34, 5 Tc 2.37-2.58
Si2 0.5838 0.1582 0.6938  1 Si 2.34, 5 Tc 2.37-2.58
Si3 0.0838 0.8062 0.6582  1 Si 2.34, 5 Tc 2.37-2.58
Si4 0.9162 0.3418 0.8062  1 Si 2.34, 5 Tc 2.37-2.58
Si5 0.9162 0.6582 0.1938  1 Si 2.34, 5 Tc 2.37-2.58
Si6 0.4162 0.3062 0.1582  1 Si 2.34, 5 Tc 2.37-2.58
Si7 0.4162 0.6938 0.8418  1 Si 2.34, 5 Tc 2.37-2.58
Si8 0.0838 0.1938 0.3418  1 Si 2.34, 5 Tc 2.37-2.58
Tc1 0.4100 0.3773 0.8751  5 Si 2.37-2.58
Tc2 0.9100 0.6249 0.8773  5 Si 2.37-2.58
Tc3 0.4100 0.6227 0.1249  5 Si 2.37-2.58
Tc4 0.0900 0.1227 0.6249  5 Si 2.37-2.58
Tc5 0.5900 0.8751 0.6227  5 Si 2.37-2.58
Tc6 0.0900 0.8773 0.3751  5 Si 2.37-2.58
Tc7 0.9100 0.3751 0.1227  5 Si 2.37-2.58
Tc8 0.5900 0.1249 0.3773  5 Si 2.37-2.58

Here is a relaxed structure of Nd2Si4Tc5 from the Alexandria database. Energies are from GGA-PBE.

Calculated density ... 7.471 Mg/m³
Fermi-level density of states ... 0.880 states/eV/atom
Final energy ... -88.0 eV/f.u.
Space-group type ... No. 69
Formation energy (no corrections) ... -0.453 eV per atom

a = 5.7412 Å, b = 5.8359 Å, c = 7.3693 Å
α = 78.95°, β = 67.07°, γ = 60.54°
With the nearest neighbours (Å) after each atom.
Positions (direct):
Nd1 0.8672 0.0000 0.2656  8 Si 3.24-3.59, 10 Tc 3.32-3.43, 1 Nd 3.61
Nd2 0.1328 0.0000 0.7344  8 Si 3.24-3.59, 10 Tc 3.32-3.43, 1 Nd 3.61
Si1 0.4881 0.2937 0.7302  5 Tc 2.36-2.55
Si2 0.5119 0.7063 0.2698  5 Tc 2.36-2.55
Si3 0.2183 0.2937 0.2698  5 Tc 2.36-2.55
Si4 0.7817 0.7063 0.7302  5 Tc 2.36-2.55
Tc1 0.5000 0.0000 0.0000  4 Si 2.36
Tc2 0.0000 0.5000 0.0000  4 Si 2.55
Tc3 0.5000 0.5000 0.0000  4 Si 2.55
Tc4 0.2500 0.5000 0.5000  4 Si 2.37
Tc5 0.7500 0.5000 0.5000  4 Si 2.37

Here is a relaxed structure of Nd3Si3Tc from the Alexandria database. Energies are from GGA-PBE.

Calculated density ... 6.499 Mg/m³
Fermi-level density of states ... 0.682 states/eV/atom
Final energy ... -45.7 eV/f.u.
Space-group type ... No. 12
Formation energy (no corrections) ... -0.678 eV per atom

a = 4.3059 Å, b = 5.9758 Å, c = 13.2720 Å
α = 85.53°, β = 80.66°, γ = 68.88°
With the nearest neighbours (Å) after each atom.
Positions (direct):
Nd1 0.5213 0.3314 0.6260  6 Si 3.03-3.32, 4 Tc 3.16-3.36
Nd2 0.4787 0.6686 0.3740  6 Si 3.03-3.32, 4 Tc 3.16-3.36
Nd3 0.2501 0.2707 0.2291  5 Si 2.98-3.07
Nd4 0.7499 0.7293 0.7709  5 Si 2.98-3.07
Nd5 0.3964 0.2870 0.9202  7 Si 3.05-3.22
Nd6 0.6036 0.7130 0.0798  7 Si 3.05-3.22
Si1 0.8560 0.7449 0.5430  3 Tc 2.46
Si2 0.1440 0.2551 0.4570  3 Tc 2.46
Si3 0.1049 0.8637 0.9265  2 Si 2.48-2.54
Si4 0.8951 0.1363 0.0735  2 Si 2.48-2.54
Si5 0.9389 0.8844 0.2378  1 Tc 2.54, 1 Si 2.54
Si6 0.0611 0.1156 0.7622  1 Tc 2.54, 1 Si 2.54
Tc1 0.7578 0.0712 0.4132  4 Si 2.46-2.54
Tc2 0.2422 0.9288 0.5868  4 Si 2.46-2.54

Here is a relaxed structure of NdSi2Tc4 from the Alexandria database. Energies are from GGA-PBE.

Calculated density ... 8.281 Mg/m³
Fermi-level density of states ... 0.627 states/eV/atom
Final energy ... -60.6 eV/f.u.
Space-group type ... No. 65
Formation energy (no corrections) ... -0.507 eV per atom

a = 4.1271 Å, b = 4.1456 Å, c = 7.2464 Å
α = 106.62°, β = 90.00°, γ = 90.00°
With the nearest neighbours (Å) after each atom.
Positions (direct):
Nd1 0.0000 0.0000 0.0000  8 Si 3.18, 8 Tc 3.36-3.42
Si1 0.5000 0.5901 0.1802  4 Tc 2.50-2.53, 1 Si 2.50
Si2 0.5000 0.4099 0.8198  4 Tc 2.50-2.53, 1 Si 2.50
Tc1 0.5000 0.8091 0.6183  2 Si 2.50, 4 Tc 2.59-2.64
Tc2 0.0000 0.6961 0.3922  2 Si 2.53, 4 Tc 2.56-2.59
Tc3 0.5000 0.1909 0.3817  2 Si 2.50, 4 Tc 2.59-2.64
Tc4 0.0000 0.3039 0.6078  2 Si 2.53, 4 Tc 2.56-2.59

Here is a relaxed structure of NdSi3Tc3 from the Alexandria database. Energies are from GGA-PBE.

Energy relative to the lowest polymorph listed for this composition ... 97 kJ/mol of formula units
Calculated density ... 6.750 Mg/m³
Fermi-level density of states ... 0.643 states/eV/atom
Final energy ... -53.5 eV/f.u.
Space-group type ... No. 148
Formation energy (no corrections) ... -0.198 eV per atom

a = 6.4809 Å, b = 6.4809 Å, c = 7.9966 Å
α = 66.09°, β = 66.09°, γ = 60.00°
With the nearest neighbours (Å) after each atom.
Positions (direct):
Nd1 0.3358 0.3358 0.9925  6 Si 3.09-3.30, 6 Tc 3.18-3.34
Nd2 0.6642 0.6642 0.0075  6 Si 3.09-3.30, 6 Tc 3.18-3.34
Si1 0.1563 0.6823 0.2756  4 Tc 2.37-2.54
Si2 0.8858 0.1563 0.2756  4 Tc 2.37-2.54
Si3 0.6823 0.8858 0.2756  4 Tc 2.37-2.54
Si4 0.3177 0.1142 0.7244  4 Tc 2.37-2.54
Si5 0.1142 0.8437 0.7244  4 Tc 2.37-2.54
Si6 0.8437 0.3177 0.7244  4 Tc 2.37-2.54
Tc1 0.5446 0.7378 0.6337  4 Si 2.37-2.54
Tc2 0.7378 0.0840 0.6337  4 Si 2.37-2.54
Tc3 0.0840 0.5446 0.6337  4 Si 2.37-2.54
Tc4 0.9160 0.4554 0.3663  4 Si 2.37-2.54
Tc5 0.2622 0.9160 0.3663  4 Si 2.37-2.54
Tc6 0.4554 0.2622 0.3663  4 Si 2.37-2.54

Here is a relaxed structure of NdSi3Tc3 from the Alexandria database. Energies are from GGA-PBE.

Energy relative to the lowest polymorph listed for this composition ... 293 kJ/mol of formula units
Calculated density ... 6.070 Mg/m³
Fermi-level density of states ... 1.049 states/eV/atom
Final energy ... -51.5 eV/f.u.
Space-group type ... No. 223
Formation energy (no corrections) ... 0.092 eV per atom

a = 6.5874 Å, b = 6.5874 Å, c = 6.5874 Å
α = 90.00°, β = 90.00°, γ = 90.00°
With the nearest neighbours (Å) after each atom.
Positions (direct):
Si1 0.2500 0.0000 0.5000  4 Tc 2.33
Si2 0.0000 0.5000 0.2500  4 Tc 2.33
Si3 0.5000 0.7500 0.0000  4 Tc 2.33
Si4 0.7500 0.0000 0.5000  4 Tc 2.33
Si5 0.0000 0.5000 0.7500  4 Tc 2.33
Si6 0.5000 0.2500 0.0000  4 Tc 2.33
Nd1 0.5000 0.5000 0.5000  12 Tc 3.68, 12 Si 3.68
Nd2 0.0000 0.0000 0.0000  12 Tc 3.68, 12 Si 3.68
Tc1 0.0000 0.2500 0.5000  4 Si 2.33
Tc2 0.0000 0.7500 0.5000  4 Si 2.33
Tc3 0.5000 0.0000 0.7500  4 Si 2.33
Tc4 0.7500 0.5000 0.0000  4 Si 2.33
Tc5 0.5000 0.0000 0.2500  4 Si 2.33
Tc6 0.2500 0.5000 0.0000  4 Si 2.33

Here is a relaxed structure of NdSi2Tc from the Alexandria database. Energies are from GGA-PBE.

Energy relative to the lowest polymorph listed for this composition ... 0 kJ/mol of formula units
Calculated density ... 6.606 Mg/m³
Fermi-level density of states ... 0.517 states/eV/atom
Final energy ... -28.7 eV/f.u.
Space-group type ... No. 62
Formation energy (no corrections) ... -0.671 eV per atom

a = 3.9989 Å, b = 7.3248 Å, c = 10.2437 Å
α = 90.00°, β = 90.00°, γ = 90.00°
With the nearest neighbours (Å) after each atom.
Positions (direct):
Nd1 0.7500 0.6439 0.3740  9 Si 3.06-3.30, 2 Tc 3.36
Nd2 0.7500 0.1439 0.1260  9 Si 3.06-3.30, 2 Tc 3.36
Nd3 0.2500 0.3561 0.6260  9 Si 3.06-3.30, 2 Tc 3.36
Nd4 0.2500 0.8561 0.8740  9 Si 3.06-3.30, 2 Tc 3.36
Si1 0.7500 0.6997 0.0743  3 Tc 2.42-2.45, 2 Si 2.53
Si2 0.2500 0.3003 0.9257  3 Tc 2.42-2.45, 2 Si 2.53
Si3 0.7500 0.1997 0.4257  3 Tc 2.42-2.45, 2 Si 2.53
Si4 0.2500 0.8003 0.5743  3 Tc 2.42-2.45, 2 Si 2.53
Si5 0.7500 0.1604 0.8121  2 Tc 2.45-2.54, 2 Si 2.53
Si6 0.2500 0.3396 0.3121  2 Tc 2.45-2.54, 2 Si 2.53
Si7 0.7500 0.6604 0.6879  2 Tc 2.45-2.54, 2 Si 2.53
Si8 0.2500 0.8396 0.1879  2 Tc 2.45-2.54, 2 Si 2.53
Tc1 0.2500 0.0115 0.3925  5 Si 2.42-2.54
Tc2 0.7500 0.9885 0.6075  5 Si 2.42-2.54
Tc3 0.2500 0.5115 0.1075  5 Si 2.42-2.54
Tc4 0.7500 0.4885 0.8925  5 Si 2.42-2.54

Here is a relaxed structure of NdSi2Tc from the Alexandria database. Energies are from GGA-PBE.

Energy relative to the lowest polymorph listed for this composition ... 213 kJ/mol of formula units
Calculated density ... 6.929 Mg/m³
Fermi-level density of states ... 0.456 states/eV/atom
Final energy ... -26.5 eV/f.u.
Space-group type ... No. 166
Formation energy (no corrections) ... -0.118 eV per atom

a = 4.7625 Å, b = 4.7625 Å, c = 4.5624 Å
α = 58.54°, β = 58.54°, γ = 60.00°
With the nearest neighbours (Å) after each atom.
Positions (direct):
Si1 0.2392 0.2392 0.2823  1 Tc 2.61, 4 Nd 2.85-2.86
Si2 0.7608 0.7608 0.7177  1 Tc 2.61, 4 Nd 2.85-2.86
Nd1 0.5000 0.5000 0.5000  8 Si 2.85-2.86
Tc1 0.0000 0.0000 0.0000  2 Si 2.61